# 1
5
Lattice="4.694 0.000 0.000 0.000 4.694 0.000 0.000 0.000 4.758" Properties=species:S:1:pos:R:3 comment="ZrFeAsBr2, relaxed, DFT GGA-PBE" dos_at_fermi_per_ev_cell=6.53 raw_formation_energy_ev_per_atom=0.396 polymorph_energy_ev_per_atom=0.161 volume_a3_per_atom=20.966 pbc="T T T"
Zr 0.000 0.000 0.000
Fe 2.347 2.347 2.379
As 2.347 2.347 0.000
Br 0.000 2.347 2.379
Br 2.347 0.000 2.379

=====

# 2
5
Lattice="5.249 0.000 0.000 0.000 5.249 0.000 0.000 0.000 5.378" Properties=species:S:1:pos:R:3 comment="ZrFeAsBr2, relaxed, DFT GGA-PBE" dos_at_fermi_per_ev_cell=8.75 raw_formation_energy_ev_per_atom=0.235 polymorph_energy_ev_per_atom=0.000 volume_a3_per_atom=29.635 pbc="T T T"
Zr 0.000 0.000 0.000
Fe 2.625 2.625 2.689
As 0.000 0.000 2.689
Br 0.000 2.625 0.000
Br 2.625 0.000 0.000

=====

# 3
5
Lattice="5.422 0.000 0.000 0.000 5.422 0.000 0.000 0.000 5.422" Properties=species:S:1:pos:R:3 comment="GaAsBr3, relaxed, DFT GGA-PBE" dos_at_fermi_per_ev_cell=1.84 raw_formation_energy_ev_per_atom=-0.213 polymorph_energy_ev_per_atom=0.000 volume_a3_per_atom=31.875 pbc="T T T"
Ga 0.000 0.000 0.000
As 2.711 2.711 2.711
Br 0.000 2.711 2.711
Br 2.711 0.000 2.711
Br 2.711 2.711 0.000

=====

# 4
8
Lattice="-2.739 2.739 8.711 2.739 -2.739 8.711 2.739 2.739 -8.711" Properties=species:S:1:pos:R:3 comment="GaAsBr2, relaxed, DFT GGA-PBE" dos_at_fermi_per_ev_cell=0.00 raw_formation_energy_ev_per_atom=0.109 polymorph_energy_ev_per_atom=0.148 volume_a3_per_atom=32.673 pbc="T T T"
Ga 0.000 0.000 0.000
Ga 0.000 2.739 4.356
As 2.739 0.000 4.356
As 0.000 0.000 8.711
Br 1.369 -1.094 6.533
Br 1.645 1.369 2.178
Br 1.369 3.833 -2.178
Br 1.094 1.369 10.889

=====

# 5
4
Lattice="0.000 3.682 3.682 3.682 0.000 3.682 3.682 3.682 0.000" Properties=species:S:1:pos:R:3 comment="GaAsBr2, relaxed, DFT GGA-PBE" dos_at_fermi_per_ev_cell=3.48 raw_formation_energy_ev_per_atom=0.262 polymorph_energy_ev_per_atom=0.301 volume_a3_per_atom=24.966 pbc="T T T"
Ga 0.000 0.000 0.000
As 3.682 3.682 3.682
Br 1.841 1.841 1.841
Br 5.524 5.524 5.524

=====

# 6
5
Lattice="5.003 0.000 0.000 0.000 5.003 0.000 0.000 0.000 5.003" Properties=species:S:1:pos:R:3 comment="GaAs3Br, relaxed, DFT GGA-PBE" dos_at_fermi_per_ev_cell=5.68 raw_formation_energy_ev_per_atom=0.723 polymorph_energy_ev_per_atom=0.000 volume_a3_per_atom=25.047 pbc="T T T"
Ga 0.000 0.000 0.000
As 0.000 0.000 2.502
As 0.000 2.502 0.000
As 2.502 0.000 0.000
Br 2.502 2.502 2.502

=====

# 7
6
Lattice="4.631 0.000 0.000 -0.010 6.511 0.000 -0.027 -1.868 6.474" Properties=species:S:1:pos:R:3 comment="GaAsBr, relaxed, DFT GGA-PBE" raw_formation_energy_ev_per_atom=-0.392 volume_a3_per_atom=32.536 pbc="T T T"
Ga -0.001 1.474 0.005
Ga 4.595 3.169 6.469
As 1.696 -0.003 1.093
As 2.898 4.646 5.381
Br 0.928 1.386 4.915
Br 3.667 3.257 1.559

=====

# 8
4
Lattice="1.725 0.996 9.870 -1.725 0.996 9.870 0.000 -1.992 9.870" Properties=species:S:1:pos:R:3 comment="GaAsBr2, relaxed, DFT GGA-PBE" dos_at_fermi_per_ev_cell=2.71 raw_formation_energy_ev_per_atom=0.228 polymorph_energy_ev_per_atom=0.268 volume_a3_per_atom=25.444 pbc="T T T"
Ga 0.000 0.000 0.000
As 0.000 0.000 14.805
Br 0.000 0.000 2.768
Br 0.000 0.000 26.842

=====

# 9
4
Lattice="1.830 1.057 9.550 -1.830 1.057 9.550 0.000 -2.113 9.550" Properties=species:S:1:pos:R:3 comment="GaAsBr2, relaxed, DFT GGA-PBE" dos_at_fermi_per_ev_cell=0.98 raw_formation_energy_ev_per_atom=-0.039 polymorph_energy_ev_per_atom=0.000 volume_a3_per_atom=27.706 pbc="T T T"
Ga 0.000 0.000 0.000
As 0.000 0.000 14.325
Br 0.000 0.000 11.724
Br 0.000 0.000 16.926

=====

# 10
5
Lattice="5.257 0.000 0.000 0.000 5.257 0.000 0.000 0.000 5.262" Properties=species:S:1:pos:R:3 comment="GaHgAsBr2, relaxed, DFT GGA-PBE" dos_at_fermi_per_ev_cell=1.84 raw_formation_energy_ev_per_atom=0.056 polymorph_energy_ev_per_atom=0.000 volume_a3_per_atom=29.082 pbc="T T T"
Ga 0.000 0.000 0.000
Hg 2.628 2.628 2.631
As 0.000 0.000 2.631
Br 0.000 2.628 0.000
Br 2.628 0.000 0.000

=====

# 11
5
Lattice="5.834 0.000 0.000 0.000 5.834 0.000 0.000 0.000 5.199" Properties=species:S:1:pos:R:3 comment="GaHgAsBr2, relaxed, DFT GGA-PBE" dos_at_fermi_per_ev_cell=1.41 raw_formation_energy_ev_per_atom=0.218 polymorph_energy_ev_per_atom=0.162 volume_a3_per_atom=35.399 pbc="T T T"
Ga 0.000 0.000 0.000
Hg 2.917 2.917 2.600
As 2.917 2.917 0.000
Br 0.000 2.917 2.600
Br 2.917 0.000 2.600

=====

# 12
35
Lattice="6.914 -3.949 0.000 6.914 3.949 0.000 -3.626 0.000 22.880" Properties=species:S:1:pos:R:3 comment="Ga4Hg11As4Br16, relaxed, DFT GGA-PBE" raw_formation_energy_ev_per_atom=-0.526 volume_a3_per_atom=35.701 pbc="T T T"
Ga 0.506 0.000 8.832
Ga 0.322 0.000 20.261
Ga 9.881 0.000 2.620
Ga 9.697 0.000 14.049
Hg 0.143 0.000 1.327
Hg 3.887 1.985 17.818
Hg 6.315 1.985 5.063
Hg 2.867 0.000 4.959
Hg 5.083 0.000 8.752
Hg 5.101 0.000 11.440
Hg 5.120 0.000 14.128
Hg 7.336 0.000 17.922
Hg 3.887 -1.985 17.818
Hg 6.315 -1.985 5.063
Hg 10.060 0.000 21.554
As 0.542 0.000 3.915
As 5.131 0.000 6.111
As 5.071 0.000 16.770
As 9.661 0.000 18.966
Br -1.930 0.000 14.955
Br 1.680 2.044 14.952
Br 4.177 2.014 1.983
Br 0.494 0.000 11.154
Br 0.488 0.000 17.898
Br 6.026 2.014 20.897
Br 2.495 0.000 21.151
Br 8.523 2.044 7.928
Br 1.680 -2.044 14.952
Br 7.708 0.000 1.729
Br 4.177 -2.014 1.983
Br 9.715 0.000 4.983
Br 9.709 0.000 11.727
Br 6.026 -2.014 20.897
Br 8.523 -2.044 7.928
Br 12.133 0.000 7.925

=====

# 13
5
Lattice="5.162 0.000 0.000 0.000 5.162 0.000 0.000 0.000 5.066" Properties=species:S:1:pos:R:3 comment="GaAs2IBr, relaxed, DFT GGA-PBE" dos_at_fermi_per_ev_cell=2.96 raw_formation_energy_ev_per_atom=0.429 polymorph_energy_ev_per_atom=0.000 volume_a3_per_atom=26.995 pbc="T T T"
Ga 0.000 0.000 0.000
As 0.000 2.581 0.000
As 2.581 0.000 0.000
I 2.581 2.581 2.533
Br 0.000 0.000 2.533

=====

# 14
5
Lattice="5.432 0.000 0.000 0.000 5.432 0.000 0.000 0.000 7.331" Properties=species:S:1:pos:R:3 comment="GaAs2IBr, relaxed, DFT GGA-PBE" dos_at_fermi_per_ev_cell=4.08 raw_formation_energy_ev_per_atom=0.854 polymorph_energy_ev_per_atom=0.425 volume_a3_per_atom=43.260 pbc="T T T"
Ga 0.000 0.000 0.000
As 0.000 2.716 3.666
As 2.716 0.000 3.666
I 2.716 2.716 3.666
Br 2.716 2.716 0.000

=====

# 15
5
Lattice="5.632 0.000 0.000 0.000 5.632 0.000 0.000 0.000 5.346" Properties=species:S:1:pos:R:3 comment="InGaAsBr2, relaxed, DFT GGA-PBE" dos_at_fermi_per_ev_cell=2.59 raw_formation_energy_ev_per_atom=0.012 polymorph_energy_ev_per_atom=0.111 volume_a3_per_atom=33.913 pbc="T T T"
In 0.000 0.000 0.000
Ga 2.816 2.816 2.673
As 0.000 0.000 2.673
Br 0.000 2.816 0.000
Br 2.816 0.000 0.000

=====

# 16
5
Lattice="5.442 0.000 0.000 0.000 5.442 0.000 0.000 0.000 5.052" Properties=species:S:1:pos:R:3 comment="InGaAsBr2, relaxed, DFT GGA-PBE" dos_at_fermi_per_ev_cell=2.14 raw_formation_energy_ev_per_atom=-0.099 polymorph_energy_ev_per_atom=0.000 volume_a3_per_atom=29.920 pbc="T T T"
In 0.000 0.000 0.000
Ga 2.721 2.721 2.526
As 2.721 2.721 0.000
Br 0.000 2.721 2.526
Br 2.721 0.000 2.526

=====

# 17
5
Lattice="4.958 0.000 0.000 0.000 4.958 0.000 0.000 0.000 5.584" Properties=species:S:1:pos:R:3 comment="InGaAs2Br, relaxed, DFT GGA-PBE" dos_at_fermi_per_ev_cell=3.78 raw_formation_energy_ev_per_atom=0.266 polymorph_energy_ev_per_atom=0.000 volume_a3_per_atom=27.447 pbc="T T T"
In 0.000 0.000 0.000
Ga 2.479 2.479 2.792
As 0.000 2.479 2.792
As 2.479 0.000 2.792
Br 2.479 2.479 0.000

=====

# 18
5
Lattice="5.247 0.000 0.000 0.000 5.247 0.000 0.000 0.000 5.797" Properties=species:S:1:pos:R:3 comment="InGaAs2Br, relaxed, DFT GGA-PBE" dos_at_fermi_per_ev_cell=2.89 raw_formation_energy_ev_per_atom=0.459 polymorph_energy_ev_per_atom=0.193 volume_a3_per_atom=31.920 pbc="T T T"
In 0.000 0.000 0.000
Ga 2.623 2.623 2.899
As 0.000 2.623 0.000
As 2.623 0.000 0.000
Br 0.000 0.000 2.899

=====

# 19
5
Lattice="4.833 0.000 0.000 0.000 4.833 0.000 0.000 0.000 4.879" Properties=species:S:1:pos:R:3 comment="GaAs2IrBr, relaxed, DFT GGA-PBE" dos_at_fermi_per_ev_cell=4.06 raw_formation_energy_ev_per_atom=1.243 polymorph_energy_ev_per_atom=0.889 volume_a3_per_atom=22.792 pbc="T T T"
Ga 0.000 0.000 0.000
As 0.000 2.416 0.000
As 2.416 0.000 0.000
Ir 2.416 2.416 2.440
Br 0.000 0.000 2.440

=====

# 20
5
Lattice="4.758 0.000 0.000 0.000 4.758 0.000 0.000 0.000 5.728" Properties=species:S:1:pos:R:3 comment="GaAs2IrBr, relaxed, DFT GGA-PBE" dos_at_fermi_per_ev_cell=4.61 raw_formation_energy_ev_per_atom=0.353 polymorph_energy_ev_per_atom=0.000 volume_a3_per_atom=25.937 pbc="T T T"
Ga 0.000 0.000 0.000
As 0.000 2.379 2.864
As 2.379 0.000 2.864
Ir 2.379 2.379 2.864
Br 2.379 2.379 0.000

=====

# 21
16
Lattice="4.452 2.570 7.177 -4.452 2.570 7.177 0.000 -5.141 7.177" Properties=species:S:1:pos:R:3 comment="La8Ga3AsBr4, relaxed, DFT GGA-PBE" dos_at_fermi_per_ev_cell=9.93 raw_formation_energy_ev_per_atom=-1.109 volume_a3_per_atom=30.797 pbc="T T T"
La -2.228 -1.286 12.392
La 0.000 0.000 5.234
La 0.000 -2.573 9.138
La -2.228 1.286 9.138
La 2.228 -1.286 12.392
La 0.000 2.573 12.392
La 0.000 0.000 16.296
La 2.228 1.286 9.139
Ga -4.452 0.000 10.765
Ga -2.226 1.285 3.588
Ga 2.226 1.285 3.588
As 0.000 0.000 10.765
Br 0.000 0.000 0.000
Br -2.226 -1.285 7.177
Br -2.226 1.285 14.353
Br 0.000 2.570 7.177

=====

# 22
5
Lattice="5.835 0.000 0.000 0.000 5.835 0.000 0.000 0.000 5.852" Properties=species:S:1:pos:R:3 comment="LaGaAsBr2, relaxed, DFT GGA-PBE" dos_at_fermi_per_ev_cell=3.25 raw_formation_energy_ev_per_atom=-0.681 polymorph_energy_ev_per_atom=0.000 volume_a3_per_atom=39.845 pbc="T T T"
La 0.000 0.000 0.000
Ga 2.917 2.917 2.926
As 0.000 0.000 2.926
Br 0.000 2.917 0.000
Br 2.917 0.000 0.000

=====

# 23
5
Lattice="5.189 0.000 0.000 0.000 5.189 0.000 0.000 0.000 5.141" Properties=species:S:1:pos:R:3 comment="LaGaAsBr2, relaxed, DFT GGA-PBE" dos_at_fermi_per_ev_cell=4.05 raw_formation_energy_ev_per_atom=-0.616 polymorph_energy_ev_per_atom=0.065 volume_a3_per_atom=27.689 pbc="T T T"
La 0.000 0.000 0.000
Ga 2.595 2.595 2.571
As 2.595 2.595 0.000
Br 0.000 2.595 2.571
Br 2.595 0.000 2.571

=====

# 24
5
Lattice="5.508 0.000 0.000 0.000 5.508 0.000 0.000 0.000 4.994" Properties=species:S:1:pos:R:3 comment="LiGaAsBr2, relaxed, DFT GGA-PBE" dos_at_fermi_per_ev_cell=1.46 raw_formation_energy_ev_per_atom=-0.214 polymorph_energy_ev_per_atom=0.000 volume_a3_per_atom=30.308 pbc="T T T"
Li 0.000 0.000 0.000
Ga 2.754 2.754 2.497
As 2.754 2.754 0.000
Br 0.000 2.754 2.497
Br 2.754 0.000 2.497

=====

# 25
5
Lattice="4.835 0.000 0.000 0.000 4.835 0.000 0.000 0.000 6.120" Properties=species:S:1:pos:R:3 comment="LiGaAs2Br, relaxed, DFT GGA-PBE" dos_at_fermi_per_ev_cell=3.25 raw_formation_energy_ev_per_atom=0.149 polymorph_energy_ev_per_atom=0.000 volume_a3_per_atom=28.614 pbc="T T T"
Li 0.000 0.000 0.000
Ga 2.418 2.418 3.060
As 0.000 2.418 3.060
As 2.418 0.000 3.060
Br 2.418 2.418 0.000

=====

# 26
5
Lattice="5.171 0.000 0.000 0.000 5.171 0.000 0.000 0.000 5.193" Properties=species:S:1:pos:R:3 comment="LiGaAsBr2, relaxed, DFT GGA-PBE" dos_at_fermi_per_ev_cell=2.17 raw_formation_energy_ev_per_atom=-0.090 polymorph_energy_ev_per_atom=0.123 volume_a3_per_atom=27.776 pbc="T T T"
Li 0.000 0.000 0.000
Ga 2.586 2.586 2.596
As 0.000 0.000 2.596
Br 0.000 2.586 0.000
Br 2.586 0.000 0.000